A geometry-optimized SrSe3Br structure, computed with PBE-GGA.

Energy above the lowest structure with this stoichiometry: 0 meV per atom
Formation energy without anion corrections: -246 meV per atom
Crystal system: cubic
Final energy: -3.008 eV per atom

Structure (POSCAR):
```
SrSe3Br
1.0
5.256 0.000 0.000
0.000 5.256 0.000
0.000 0.000 5.256
Sr Se Br
1 3 1
direct
0.000 0.000 0.000
0.000 0.500 0.500
0.500 0.000 0.500
0.500 0.500 0.000
0.500 0.500 0.500
```